Record 1
Here is an optimized crystal structure of DyZrCoPd from the Alexandria database. Energies are from PBE.

abc: 6.7102 6.7102 6.7102
angles: 90.00 90.00 90.00
Closest atoms and distances in Å follow each position.
Sites, in units of the cell vectors:
Dy  0.0000  0.0000  0.0000  4 Co 2.91, 4 Pd 2.91
Dy  0.0000  0.5000  0.5000  4 Co 2.91, 4 Pd 2.91
Dy  0.5000  0.0000  0.5000  4 Co 2.91, 4 Pd 2.91
Dy  0.5000  0.5000  0.0000  4 Co 2.91, 4 Pd 2.91
Zr  0.0000  0.0000  0.5000  4 Pd 2.91, 4 Co 2.91
Zr  0.0000  0.5000  0.0000  4 Pd 2.91, 4 Co 2.91
Zr  0.5000  0.0000  0.0000  4 Pd 2.91, 4 Co 2.91
Zr  0.5000  0.5000  0.5000  4 Pd 2.91, 4 Co 2.91
Co  0.2500  0.2500  0.7500  4 Zr 2.91, 4 Dy 2.91
Co  0.2500  0.7500  0.2500  4 Zr 2.91, 4 Dy 2.91
Co  0.7500  0.2500  0.2500  4 Zr 2.91, 4 Dy 2.91
Co  0.7500  0.7500  0.7500  4 Zr 2.91, 4 Dy 2.91
Pd  0.2500  0.2500  0.2500  4 Dy 2.91, 4 Zr 2.91
Pd  0.2500  0.7500  0.7500  4 Dy 2.91, 4 Zr 2.91
Pd  0.7500  0.2500  0.7500  4 Dy 2.91, 4 Zr 2.91
Pd  0.7500  0.7500  0.2500  4 Dy 2.91, 4 Zr 2.91

Summary:
* DOS(E_F): 12.423 states/eV/cell
* SG: F-43m (216)
* energy relative to the elements: -1.62 eV per formula unit
* total energy: -6.767 eV/atom

Record 2
Here is an optimized crystal structure of CrFe2Ag from the Alexandria database. Energies are from PBE.

abc: 8.8849 2.7765 4.6025
angles: 90.00 104.83 90.00
Closest atoms and distances in Å follow each position.
Sites, in units of the cell vectors:
Cr  0.0000  0.0000  0.0000  5 Fe 2.53-2.70, 3 Ag 2.75-2.79, 2 Cr 2.78
Cr  0.5000  0.5000  0.0000  5 Fe 2.53-2.70, 3 Ag 2.75-2.79, 2 Cr 2.78
Fe  0.2416  0.5000  0.2081  2 Fe 2.47, 3 Cr 2.53-2.70, 4 Ag 2.69
Fe  0.4695  0.0000  0.4469  2 Fe 2.47, 2 Cr 2.55, 3 Ag 2.67-2.71
Fe  0.7416  0.0000  0.2081  2 Fe 2.47, 3 Cr 2.53-2.70, 4 Ag 2.69
Fe  0.9695  0.5000  0.4469  2 Fe 2.47, 2 Cr 2.55, 3 Ag 2.67-2.71
Ag  0.2320  0.0000  0.7042  7 Fe 2.67-2.71, 3 Cr 2.75-2.79, 2 Ag 2.78
Ag  0.7320  0.5000  0.7042  7 Fe 2.67-2.71, 3 Cr 2.75-2.79, 2 Ag 2.78

Summary:
* DOS(E_F): 6.898 states/eV/cell
* SG: Cm (8)
* energy relative to the elements: 1.60 eV per formula unit
* energy above the lowest structure with this stoichiometry: 79 meV/atom
* total energy: -6.950 eV/atom

Record 3
Here is an optimized crystal structure of AcClF2 from the Alexandria database. Energies are from PBE.

abc: 4.2590 4.2590 14.9403
angles: 90.00 90.00 120.00
Closest atoms and distances in Å follow each position.
Sites, in units of the cell vectors:
Ac  0.0000  0.0000  0.0000  6 F 2.52
Ac  0.3333  0.6667  0.6667  6 F 2.52
Ac  0.6667  0.3333  0.3333  6 F 2.52
Cl  0.0000  0.0000  0.5000  8 F 3.06-3.12
Cl  0.3333  0.6667  0.1667  8 F 3.06-3.12
Cl  0.6667  0.3333  0.8333  8 F 3.06-3.12
F  0.0000  0.0000  0.2953  3 Ac 2.52, 3 F 2.71
F  0.0000  0.0000  0.7047  3 Ac 2.52, 3 F 2.71
F  0.3333  0.6667  0.3714  3 Ac 2.52, 3 F 2.71
F  0.3333  0.6667  0.9620  3 Ac 2.52, 3 F 2.71
F  0.6667  0.3333  0.0380  3 Ac 2.52, 3 F 2.71
F  0.6667  0.3333  0.6286  3 Ac 2.52, 3 F 2.71

Summary:
* DOS(E_F): 0.000 states/eV/cell
* SG: R-3m (166)
* energy above the lowest structure with this stoichiometry: 96 meV/atom
* total energy: -5.978 eV/atom
* formation energy from raw total energies: -3.5536 eV/atom

Record 4
Here is an optimized crystal structure of SmZnSn3 from the Alexandria database. Energies are from PBE.

abc: 12.7077 6.2867 6.2573
angles: 90.00 90.00 90.00
Closest atoms and distances in Å follow each position.
Sites, in units of the cell vectors:
Sm  0.1953  0.0084  0.2500  9 Sn 3.17-3.35, 2 Zn 3.22
Sm  0.1953  0.4916  0.7500  9 Sn 3.17-3.35, 2 Zn 3.22
Sm  0.8047  0.5084  0.2500  9 Sn 3.17-3.35, 2 Zn 3.22
Sm  0.8047  0.9916  0.7500  9 Sn 3.17-3.35, 2 Zn 3.22
Zn  0.3814  0.2500  0.0000  6 Sn 2.84-3.06, 2 Zn 3.13
Zn  0.3814  0.2500  0.5000  6 Sn 2.84-3.06, 2 Zn 3.13
Zn  0.6186  0.7500  0.0000  6 Sn 2.84-3.06, 2 Zn 3.13
Zn  0.6186  0.7500  0.5000  6 Sn 2.84-3.06, 2 Zn 3.13
Sn  0.9998  0.2500  0.0000  4 Sn 3.13-3.14, 4 Sm 3.31-3.35
Sn  0.9998  0.2500  0.5000  4 Sn 3.13-3.14, 4 Sm 3.31-3.35
Sn  0.0002  0.7500  0.0000  4 Sn 3.13-3.14, 4 Sm 3.31-3.35
Sn  0.0002  0.7500  0.5000  4 Sn 3.13-3.14, 4 Sm 3.31-3.35
Sn  0.2500  0.5164  0.2500  2 Zn 2.84, 1 Sm 3.17
Sn  0.2500  0.9836  0.7500  2 Zn 2.84, 1 Sm 3.17
Sn  0.4383  0.6513  0.7500  4 Zn 2.84-3.06, 1 Sn 3.18
Sn  0.4383  0.8487  0.2500  4 Zn 2.84-3.06, 1 Sn 3.18
Sn  0.5617  0.1513  0.7500  4 Zn 2.84-3.06, 1 Sn 3.18
Sn  0.5617  0.3487  0.2500  4 Zn 2.84-3.06, 1 Sn 3.18
Sn  0.7500  0.0164  0.2500  2 Zn 2.84, 1 Sm 3.17
Sn  0.7500  0.4836  0.7500  2 Zn 2.84, 1 Sm 3.17

Summary:
* DOS(E_F): 6.038 states/eV/cell
* SG: Pbcm (57)
* energy relative to the elements: -1.77 eV per formula unit
* total energy: -3.955 eV/atom

Record 5
Here is an optimized crystal structure of NaZn3Ga9 from the Alexandria database. Energies are from PBE.

abc: 7.3770 7.3770 7.3057
angles: 96.94 96.94 139.04
Closest atoms and distances in Å follow each position.
Sites, in units of the cell vectors:
Na  0.0000  0.0000  0.0000  12 Ga 3.26-3.46
Zn  0.0000  0.0000  0.5000  6 Ga 2.58-2.80
Zn  0.0000  0.5000  0.0000  2 Zn 2.58, 4 Ga 2.76-2.78
Zn  0.5000  0.0000  0.0000  2 Zn 2.58, 4 Ga 2.76-2.78
Ga  0.0065  0.6479  0.6488  5 Ga 2.83-3.15, 3 Zn 2.90-2.96
Ga  0.2894  0.4990  0.7946  3 Zn 2.76-2.80, 5 Ga 2.80-2.97
Ga  0.3521  0.9935  0.3512  5 Ga 2.83-3.15, 3 Zn 2.90-2.96
Ga  0.4990  0.2894  0.7946  3 Zn 2.76-2.80, 5 Ga 2.80-2.97
Ga  0.5000  0.5000  0.5000  2 Zn 2.58, 4 Ga 2.80
Ga  0.5010  0.7106  0.2054  3 Zn 2.76-2.80, 5 Ga 2.80-2.97
Ga  0.6479  0.0065  0.6488  5 Ga 2.83-3.15, 3 Zn 2.90-2.96
Ga  0.7106  0.5010  0.2054  3 Zn 2.76-2.80, 5 Ga 2.80-2.97
Ga  0.9935  0.3521  0.3512  5 Ga 2.83-3.15, 3 Zn 2.90-2.96

Summary:
* DOS(E_F): 3.539 states/eV/cell
* SG: C2/m (12)
* energy relative to the elements: -0.08 eV per formula unit
* total energy: -2.497 eV/atom

Record 6
Here is an optimized crystal structure of AsWCl2 from the Alexandria database. Energies are from PBE.

abc: 2.9425 2.9425 9.4866
angles: 90.00 90.00 90.00
Closest atoms and distances in Å follow each position.
Sites, in units of the cell vectors:
As  0.0000  0.0000  0.0000  4 As 2.94
W  0.0000  0.0000  0.5000  8 Cl 2.58
Cl  0.5000  0.5000  0.3393  4 W 2.58
Cl  0.5000  0.5000  0.6607  4 W 2.58

Summary:
* DOS(E_F): 3.839 states/eV/cell
* SG: P4/mmm (123)
* energy above the lowest structure with this stoichiometry: 796 meV/atom
* total energy: -4.780 eV/atom
* formation energy from raw total energies: 0.5438 eV/atom